{
  "formula": "SrIBr2",
  "functional": "PBE-GGA",
  "state": "relaxed",
  "lattice": [[4.770, 0.000, 0.000], [-0.041, 8.157, 0.000], [-2.126, -4.057, 9.441]],
  "species": ["Sr", "Sr", "I", "I", "Br", "Br", "Br", "Br"],
  "frac_coords": [[0.226, 0.235, 0.450], [0.774, 0.765, 0.550], [0.054, 0.921, 0.096], [0.946, 0.079, 0.904], [0.193, 0.816, 0.369], [0.326, 0.627, 0.669], [0.674, 0.373, 0.331], [0.807, 0.184, 0.631]],
  "spacegroup": "P-1 (2)",
  "dft_energy_ev_per_atom": -3.21,
  "e_above_lowest_polymorph_ev_per_fu": 0.00,
  "raw_formation_energy_ev_per_atom": -1.5619,
  "n_ef_per_ev_atom": 0.00
}